#1
{"formula": "Dy3TlSe", "functional": "PBE", "state": "optimized geometry", "dos_at_fermi_per_ev_cell": 16.4, "magmom_total_mub_per_cell": 0.0, "sg": "P2_1/c (14)", "density_kg_m3": 8861, "lattice": [[6.652, 0.000, 0.000], [0.000, 9.209, -0.789], [0.000, -4.272, 9.798]], "species": ["Dy", "Dy", "Dy", "Dy", "Dy", "Dy", "Dy", "Dy", "Dy", "Dy", "Dy", "Dy", "Tl", "Tl", "Tl", "Tl", "Se", "Se", "Se", "Se"], "fractional_positions": [[0.089, 0.729, 0.664], [0.911, 0.271, 0.336], [0.589, 0.771, 0.836], [0.411, 0.229, 0.164], [0.581, 0.674, 0.461], [0.419, 0.326, 0.539], [0.081, 0.826, 0.039], [0.919, 0.174, 0.961], [0.135, 0.584, 0.196], [0.865, 0.416, 0.804], [0.635, 0.916, 0.304], [0.365, 0.084, 0.696], [0.834, 0.008, 0.624], [0.166, 0.992, 0.376], [0.334, 0.492, 0.876], [0.666, 0.508, 0.124], [0.233, 0.488, 0.403], [0.767, 0.512, 0.597], [0.733, 0.012, 0.097], [0.267, 0.988, 0.903]]}

***

#2
{"formula": "Dy3TlSe", "functional": "PBE", "state": "optimized geometry", "dos_at_fermi_per_ev_cell": 16.6, "magmom_total_mub_per_cell": 2.2, "sg": "Pnma (62)", "density_kg_m3": 9258, "lattice": [[-3.994, 0.364, -0.252], [-0.994, -7.988, 4.203], [-0.199, 7.076, 13.402]], "species": ["Dy", "Dy", "Dy", "Dy", "Dy", "Dy", "Dy", "Dy", "Dy", "Dy", "Dy", "Dy", "Tl", "Tl", "Tl", "Tl", "Se", "Se", "Se", "Se"], "fractional_positions": [[0.250, 0.340, 0.521], [0.750, 0.796, 0.221], [0.750, 0.535, 0.886], [0.750, 0.035, 0.614], [0.750, 0.660, 0.479], [0.250, 0.965, 0.386], [0.250, 0.840, 0.979], [0.750, 0.296, 0.279], [0.250, 0.704, 0.721], [0.250, 0.204, 0.779], [0.750, 0.160, 0.021], [0.250, 0.465, 0.114], [0.750, 0.933, 0.824], [0.250, 0.067, 0.176], [0.750, 0.433, 0.676], [0.250, 0.567, 0.324], [0.250, 0.335, 0.945], [0.250, 0.835, 0.555], [0.750, 0.165, 0.445], [0.750, 0.665, 0.055]]}

***

#2 is preferred energetically. Next in line: 131 meV/atom higher.

***

#1
{"formula": "DyTmSe2", "functional": "PBE", "state": "optimized geometry", "dos_at_fermi_per_ev_cell": 1.9, "magmom_total_mub_per_cell": 0.0, "sg": "R-3m (166)", "density_kg_m3": 8682, "lattice": [[4.047, 0.000, 0.000], [2.024, 3.505, 0.000], [2.024, 1.168, 6.597]], "species": ["Tm", "Se", "Se", "Dy"], "fractional_positions": [[0.000, 0.000, 0.000], [0.252, 0.252, 0.244], [0.748, 0.748, 0.756], [0.500, 0.500, 0.500]]}

***

#2
{"formula": "DyTmSe2", "functional": "PBE", "state": "optimized geometry", "dos_at_fermi_per_ev_cell": 1.8, "magmom_total_mub_per_cell": 0.0, "sg": "Pmn2_1 (31)", "density_kg_m3": 6632, "lattice": [[-4.128, 0.864, 0.183], [-0.601, -1.567, -6.139], [-1.702, -8.641, 2.372]], "species": ["Dy", "Dy", "Tm", "Tm", "Se", "Se", "Se", "Se"], "fractional_positions": [[0.201, 0.798, 0.774], [0.701, 0.298, 0.441], [0.201, 0.934, 0.191], [0.701, 0.434, 0.025], [0.701, 0.664, 0.278], [0.701, 0.538, 0.707], [0.201, 0.038, 0.509], [0.201, 0.164, 0.938]]}

***

#1 is preferred energetically. Next in line: 347 meV/atom higher.